CeMg2GaPt4 | PBE | optimized geometry

Properties
As for the formation energy: -0.853 eV per atom.

Unit cell a=4.4591 b=4.4591 c=24.9987 alpha=90.00 beta=90.00 gamma=120.00
Space group R-3m (No. 166, hexagonal axes)
Inequivalent atoms, fractional coordinates:
Ce (0.0000, 0.0000, 0.0000) x3
Mg (0.0000, 0.0000, 0.2419) x6
Ga (0.0000, 0.0000, 0.5000) x3
Pt (0.0000, 0.0000, 0.1317) x6
Pt (0.0000, 0.0000, 0.3970) x6

=====

SbMoPdI2 | PBE | optimized geometry

Properties
For the energy relative to the lowest polymorph listed for this composition, the calculation gives 0.415 eV/atom. The value obtained for the uncorrected formation energy is 603 kJ/mol of formula units.

Unit cell a=6.035 b=6.035 c=5.435 alpha=90.00 beta=90.00 gamma=90.00
Space group P4/mmm (No. 123)
Inequivalent atoms, fractional coordinates:
Sb (0.000, 0.000, 0.000) x1
Mo (0.000, 0.000, 0.500) x1
Pd (0.500, 0.500, 0.500) x1
I (0.000, 0.500, 0.000) x2

=====

TmSn3 | PBE | optimized geometry

Properties
As for the formation energy: -0.310 eV per atom.

Unit cell a=3.718 b=10.562 c=5.330 alpha=90.00 beta=90.00 gamma=90.00
Space group Imm2 (No. 44)
Inequivalent atoms, fractional coordinates:
Tm (0.000, 0.000, 0.000) x2
Sn (0.000, 0.250, 0.620) x4
Sn (0.000, 0.500, 0.010) x2

=====

Calculated total moment in order - 0.02, 0.90, 0.00 μB per atom
Calculated D(E_F) in order - 3.52, 6.28, 2.58 states/eV/f.u.